The following is a DFT calculation (PBE) of a relaxed structure of LiBeP2.

Properties
The calculation puts the formation energy at -0.07 eV/atom.

Unit cell a=2.8807 b=2.8807 c=21.6409 alpha=90.00 beta=90.00 gamma=120.00
Space group R-3m (No. 166, hexagonal axes)
Symmetry-distinct sites (fractional):
1 Li 0.0000 0.0000 0.0000 (multiplicity 3)
2 Be 0.0000 0.0000 0.5000 (multiplicity 3)
3 P 0.0000 0.0000 0.2416 (multiplicity 6)